Record 1
VASP calculation (PBE-GGA) on a relaxed structure of BaSrEu2.

Results
E_form   0.046 eV/atom
Energy above the lowest structure with this stoichiometry   0.0 kJ per mole of atoms
Space-group type   Fm-3m, No. 225

abc: 6.603 6.603 6.603
angles: 60.00 60.00 60.00
Last column: magnetic moment on the atom in μB.
Atoms (fractional coordinates):
1 Eu 0.250 0.250 0.250  7.00
2 Eu 0.750 0.750 0.750  7.00
3 Sr 0.000 0.000 0.000  0.04
4 Ba 0.500 0.500 0.500  0.08

---

Record 2
VASP calculation (PBE-GGA) on a relaxed structure of BaSrEu2.

Results
E_form   0.051 eV/atom
Energy above the lowest structure with this stoichiometry   0.4 kJ per mole of atoms
Space-group type   P4/mmm, No. 123

abc: 4.699 4.699 9.260
angles: 90.00 90.00 90.00
Last column: magnetic moment on the atom in μB.
Atoms (fractional coordinates):
1 Eu 0.000 0.000 0.760  6.99
2 Eu 0.000 0.000 0.240  6.99
3 Sr 0.500 0.500 0.000  0.05
4 Ba 0.500 0.500 0.500  0.05

---

Record 3
VASP calculation (PBE-GGA) on a relaxed structure of BaSrEu2.

Results
E_form   0.051 eV/atom
Energy above the lowest structure with this stoichiometry   0.4 kJ per mole of atoms
Space-group type   P4/mmm, No. 123

abc: 6.033 5.824 5.824
angles: 90.00 90.00 90.00
Last column: magnetic moment on the atom in μB.
Atoms (fractional coordinates):
1 Eu 0.000 0.000 0.500  7.02
2 Eu 0.000 0.500 0.000  7.02
3 Sr 0.500 0.000 0.000  0.04
4 Ba 0.500 0.500 0.500  0.08

---

Record 4
VASP calculation (PBE-GGA) on a relaxed structure of Ba2SrEu.

Results
E_form   0.027 eV/atom
Energy above the lowest structure with this stoichiometry   0.0 kJ per mole of atoms
Space-group type   P4/mmm, No. 123

abc: 4.766 4.766 9.866
angles: 90.00 90.00 90.00
Last column: magnetic moment on the atom in μB.
Atoms (fractional coordinates):
1 Eu 0.500 0.500 0.000  7.02
2 Sr 0.500 0.500 0.500  -0.02
3 Ba 0.000 0.000 0.761  0.04
4 Ba 0.000 0.000 0.239  0.04

---

Record 5
VASP calculation (PBE-GGA) on a relaxed structure of BaSrEu.

Results
E_form   0.039 eV/atom
Energy above the lowest structure with this stoichiometry   0.3 kJ per mole of atoms
Space-group type   P3m1, No. 156

abc: 4.091 6.714 6.714
angles: 120.00 90.00 90.00
Last column: magnetic moment on the atom in μB.
Atoms (fractional coordinates):
1 Eu 0.332 0.333 0.667  6.99
2 Sr 0.007 0.000 0.000  0.01
3 Ba 0.661 0.667 0.333  0.02

---

Record 6
VASP calculation (PBE-GGA) on a relaxed structure of Ba2SrEu.

Results
E_form   0.033 eV/atom
Energy above the lowest structure with this stoichiometry   0.6 kJ per mole of atoms
Space-group type   P4/mmm, No. 123

abc: 4.780 6.850 6.850
angles: 90.00 90.00 90.00
Last column: magnetic moment on the atom in μB.
Atoms (fractional coordinates):
1 Eu 0.500 0.500 0.500  6.99
2 Sr 0.500 0.000 0.000  -0.01
3 Ba 0.000 0.000 0.500  0.03
4 Ba 0.000 0.500 0.000  0.03

---

Record 7
VASP calculation (PBE-GGA) on a relaxed structure of BaTbEu2.

Results
E_form   0.183 eV/atom
Energy above the lowest structure with this stoichiometry   6.5 kJ per mole of atoms
Space-group type   P4/mmm, No. 123

abc: 4.345 6.260 6.260
angles: 90.00 90.00 90.00
Last column: magnetic moment on the atom in μB.
Atoms (fractional coordinates):
1 Eu 0.000 0.000 0.500  6.88
2 Eu 0.000 0.500 0.000  6.88
3 Tb 0.500 0.500 0.500  0.10
4 Ba 0.500 0.000 0.000  0.03

---

Record 8
VASP calculation (PBE-GGA) on a relaxed structure of BaTbEu2.

Results
E_form   0.178 eV/atom
Energy above the lowest structure with this stoichiometry   6.0 kJ per mole of atoms
Space-group type   Fm-3m, No. 225

abc: 6.231 6.231 6.231
angles: 60.00 60.00 60.00
Last column: magnetic moment on the atom in μB.
Atoms (fractional coordinates):
1 Eu 0.250 0.250 0.250  6.89
2 Eu 0.750 0.750 0.750  6.89
3 Tb 0.000 0.000 0.000  0.10
4 Ba 0.500 0.500 0.500  0.05

---

Record 9
VASP calculation (PBE-GGA) on a relaxed structure of BaTbEu2.

Results
E_form   0.116 eV/atom
Energy above the lowest structure with this stoichiometry   0.0 kJ per mole of atoms
Space-group type   P4/mmm, No. 123

abc: 3.968 3.968 11.063
angles: 90.00 90.00 90.00
Last column: magnetic moment on the atom in μB.
Atoms (fractional coordinates):
1 Eu 0.000 0.000 0.784  6.95
2 Eu 0.000 0.000 0.216  6.95
3 Tb 0.500 0.500 0.000  0.31
4 Ba 0.500 0.500 0.500  0.05

---

Record 10
VASP calculation (PBE-GGA) on a relaxed structure of BaTbEu2.

Results
E_form   0.310 eV/atom
Energy above the lowest structure with this stoichiometry   18.8 kJ per mole of atoms
Space-group type   R-3m, No. 166

abc: 3.771 3.771 13.964
angles: 82.24 82.24 60.00
Last column: magnetic moment on the atom in μB.
Atoms (fractional coordinates):
1 Eu 0.082 0.082 0.755  -7.03
2 Eu 0.918 0.918 0.245  -7.03
3 Tb 0.000 0.000 0.000  -0.24
4 Ba 0.500 0.500 0.500  -0.02

---

Record 11
VASP calculation (PBE-GGA) on a relaxed structure of Ba2EuTe.

Results
Energy above the lowest structure with this stoichiometry   0.0 kJ per mole of atoms
Energy relative to the elements, uncorrected   -720 meV/atom
Space-group type   P4/mmm, No. 123

abc: 4.322 4.322 10.027
angles: 90.00 90.00 90.00
Last column: magnetic moment on the atom in μB.
Atoms (fractional coordinates):
1 Eu 0.500 0.500 0.500  7.10
2 Te 0.500 0.500 0.000  0.01
3 Ba 0.000 0.000 0.802  0.13
4 Ba 0.000 0.000 0.198  0.13

---

Record 12
VASP calculation (PBE-GGA) on a relaxed structure of Ba2EuTe.

Results
Energy above the lowest structure with this stoichiometry   10.6 kJ per mole of atoms
Energy relative to the elements, uncorrected   -610 meV/atom
Space-group type   R-3m, No. 166

abc: 4.548 4.548 12.705
angles: 79.69 79.69 60.00
Last column: magnetic moment on the atom in μB.
Atoms (fractional coordinates):
1 Eu 0.000 0.000 0.000  7.01
2 Te 0.500 0.500 0.500  0.00
3 Ba 0.108 0.108 0.675  0.01
4 Ba 0.892 0.892 0.325  0.01

---

Record 13
VASP calculation (PBE-GGA) on a relaxed structure of BaEuTe.

Results
Energy relative to the elements, uncorrected   -850 meV/atom
Space-group type   P-6m2, No. 187

abc: 4.829 5.468 5.468
angles: 120.00 90.00 90.00
Last column: magnetic moment on the atom in μB.
Atoms (fractional coordinates):
1 Eu 0.166 0.000 0.000  6.98
2 Te 0.167 0.333 0.667  -0.02
3 Ba 0.666 0.667 0.333  0.10

---

Record 14
VASP calculation (PBE-GGA) on a relaxed structure of BaEuTl.

Results
E_form   -0.190 eV/atom
Energy above the lowest structure with this stoichiometry   10.1 kJ per mole of atoms
Space-group type   P3m1, No. 156

abc: 4.261 5.768 5.768
angles: 120.00 90.00 90.00
Last column: magnetic moment on the atom in μB.
Atoms (fractional coordinates):
1 Eu 0.166 0.000 0.000  6.91
2 Tl 0.168 0.333 0.667  0.00
3 Ba 0.666 0.667 0.333  0.01

---

Record 15
VASP calculation (PBE-GGA) on a relaxed structure of BaEuTl.

Results
E_form   -0.295 eV/atom
Energy above the lowest structure with this stoichiometry   0.0 kJ per mole of atoms
Space-group type   I4mm, No. 107

abc: 4.196 4.196 7.658
angles: 105.90 105.90 90.00
Last column: magnetic moment on the atom in μB.
Atoms (fractional coordinates):
1 Eu 0.296 0.296 0.592  6.93
2 Tl 0.680 0.680 0.361  -0.02
3 Ba 0.023 0.023 0.047  0.03

---

Record 16
VASP calculation (PBE-GGA) on a relaxed structure of BaEu2Tl.

Results
E_form   -0.097 eV/atom
Energy above the lowest structure with this stoichiometry   9.5 kJ per mole of atoms
Space-group type   R-3m, No. 166

abc: 4.075 4.075 12.229
angles: 80.41 80.41 60.00
Last column: magnetic moment on the atom in μB.
Atoms (fractional coordinates):
1 Eu 0.735 0.735 0.795  6.96
2 Eu 0.265 0.265 0.205  6.96
3 Tl 0.000 0.000 0.000  0.02
4 Ba 0.500 0.500 0.500  0.04

---

Record 17
VASP calculation (PBE-GGA) on a relaxed structure of BaEu2Tl.

Results
E_form   -0.127 eV/atom
Energy above the lowest structure with this stoichiometry   6.5 kJ per mole of atoms
Space-group type   P4/mmm, No. 123

abc: 5.451 5.308 5.308
angles: 90.00 90.00 90.00
Last column: magnetic moment on the atom in μB.
Atoms (fractional coordinates):
1 Eu 0.000 0.000 0.500  7.00
2 Eu 0.000 0.500 0.000  7.00
3 Tl 0.500 0.000 0.000  0.00
4 Ba 0.500 0.500 0.500  0.08

---

Record 18
VASP calculation (PBE-GGA) on a relaxed structure of BaEuTl.

Results
E_form   -0.178 eV/atom
Energy above the lowest structure with this stoichiometry   11.3 kJ per mole of atoms
Space-group type   F-43m, No. 216

abc: 5.784 5.784 5.784
angles: 60.00 60.00 60.00
Last column: magnetic moment on the atom in μB.
Atoms (fractional coordinates):
1 Eu 0.000 0.000 0.000  -6.93
2 Tl 0.250 0.250 0.250  -0.01
3 Ba 0.500 0.500 0.500  -0.01

---

Record 19
VASP calculation (PBE-GGA) on a relaxed structure of BaEuTl4.

Results
E_form   -0.276 eV/atom
Space-group type   F-43m, No. 216

abc: 6.544 6.544 6.544
angles: 60.00 60.00 60.00
Last column: magnetic moment on the atom in μB.
Atoms (fractional coordinates):
1 Eu 0.250 0.250 0.250  6.94
2 Tl 0.625 0.625 0.126  0.01
3 Tl 0.625 0.126 0.625  0.01
4 Tl 0.625 0.625 0.625  0.01
5 Tl 0.126 0.625 0.625  0.01
6 Ba 0.000 0.000 0.000  0.04

---

Record 20
VASP calculation (PBE-GGA) on a relaxed structure of BaEu2Tl.

Results
E_form   -0.097 eV/atom
Energy above the lowest structure with this stoichiometry   9.5 kJ per mole of atoms
Space-group type   Fm-3m, No. 225

abc: 5.926 5.926 5.926
angles: 60.00 60.00 60.00
Last column: magnetic moment on the atom in μB.
Atoms (fractional coordinates):
1 Eu 0.250 0.250 0.250  6.97
2 Eu 0.750 0.750 0.750  6.97
3 Tl 0.500 0.500 0.500  -0.04
4 Ba 0.000 0.000 0.000  0.16

---

Record 21
VASP calculation (PBE-GGA) on a relaxed structure of BaEu2Tl.

Results
E_form   -0.195 eV/atom
Energy above the lowest structure with this stoichiometry   0.0 kJ per mole of atoms
Space-group type   P4/mmm, No. 123

abc: 4.104 4.104 9.985
angles: 90.00 90.00 90.00
Last column: magnetic moment on the atom in μB.
Atoms (fractional coordinates):
1 Eu 0.000 0.000 0.817  6.93
2 Eu 0.000 0.000 0.183  6.93
3 Tl 0.500 0.500 0.000  -0.01
4 Ba 0.500 0.500 0.500  0.11

---

Record 22
VASP calculation (PBE-GGA) on a relaxed structure of BaEuTlZn.

Results
E_form   -0.279 eV/atom
Space-group type   F-43m, No. 216

abc: 5.735 5.735 5.735
angles: 60.00 60.00 60.00
Last column: magnetic moment on the atom in μB.
Atoms (fractional coordinates):
1 Eu 0.500 0.500 0.500  6.87
2 Zn 0.750 0.750 0.750  -0.01
3 Tl 0.250 0.250 0.250  -0.01
4 Ba 0.000 0.000 0.000  -0.01

---

Record 23
VASP calculation (PBE-GGA) on a relaxed structure of BaEu2Tm.

Results
E_form   0.192 eV/atom
Energy above the lowest structure with this stoichiometry   7.6 kJ per mole of atoms
Space-group type   Fm-3m, No. 225

abc: 6.192 6.192 6.192
angles: 60.00 60.00 60.00
Last column: magnetic moment on the atom in μB.
Atoms (fractional coordinates):
1 Eu 0.250 0.250 0.250  6.88
2 Eu 0.750 0.750 0.750  6.88
3 Tm 0.000 0.000 0.000  0.05
4 Ba 0.500 0.500 0.500  0.03

---

Record 24
VASP calculation (PBE-GGA) on a relaxed structure of BaEu2Tm.

Results
E_form   0.113 eV/atom
Energy above the lowest structure with this stoichiometry   0.0 kJ per mole of atoms
Space-group type   P4/mmm, No. 123

abc: 4.163 4.163 9.894
angles: 90.00 90.00 90.00
Last column: magnetic moment on the atom in μB.
Atoms (fractional coordinates):
1 Eu 0.000 0.000 0.794  -6.93
2 Eu 0.000 0.000 0.206  -6.93
3 Tm 0.500 0.500 0.000  -0.16
4 Ba 0.500 0.500 0.500  -0.05

---

Record 25
VASP calculation (PBE-GGA) on a relaxed structure of BaEu2Tm.

Results
E_form   0.201 eV/atom
Energy above the lowest structure with this stoichiometry   8.5 kJ per mole of atoms
Space-group type   P4/mmm, No. 123

abc: 4.340 6.204 6.204
angles: 90.00 90.00 90.00
Last column: magnetic moment on the atom in μB.
Atoms (fractional coordinates):
1 Eu 0.000 0.000 0.500  -6.88
2 Eu 0.000 0.500 0.000  -6.88
3 Tm 0.500 0.500 0.500  -0.07
4 Ba 0.500 0.000 0.000  -0.02

---

Record 26
VASP calculation (PBE-GGA) on a relaxed structure of BaEuTm.

Results
E_form   0.194 eV/atom
Space-group type   I4mm, No. 107

abc: 3.910 3.910 8.789
angles: 102.85 102.85 90.00
Last column: magnetic moment on the atom in μB.
Atoms (fractional coordinates):
1 Eu 0.318 0.318 0.635  7.01
2 Tm 0.675 0.675 0.351  0.32
3 Ba 0.007 0.007 0.014  0.00

---

Record 27
VASP calculation (PBE-GGA) on a relaxed structure of BaEu2Y.

Results
E_form   0.121 eV/atom
Energy above the lowest structure with this stoichiometry   1.7 kJ per mole of atoms
Space-group type   R-3m, No. 166

abc: 3.912 3.912 13.139
angles: 81.44 81.44 60.00
Last column: magnetic moment on the atom in μB.
Atoms (fractional coordinates):
1 Eu 0.257 0.257 0.229  -7.00
2 Eu 0.743 0.743 0.771  -7.00
3 Y 0.000 0.000 0.000  -0.23
4 Ba 0.500 0.500 0.500  -0.03

---

Record 28
VASP calculation (PBE-GGA) on a relaxed structure of BaEuY.

Results
E_form   0.158 eV/atom
Energy above the lowest structure with this stoichiometry   0.0 kJ per mole of atoms
Space-group type   P3m1, No. 156

abc: 3.904 3.904 9.680
angles: 90.00 90.00 120.00
Last column: magnetic moment on the atom in μB.
Atoms (fractional coordinates):
1 Eu 0.333 0.667 0.645  -7.03
2 Y 0.667 0.333 0.345  -0.15
3 Ba 0.000 0.000 0.009  0.01

---

Record 29
VASP calculation (PBE-GGA) on a relaxed structure of Ba2EuY.

Results
E_form   0.325 eV/atom
Energy above the lowest structure with this stoichiometry   12.6 kJ per mole of atoms
Space-group type   R-3m, No. 166

abc: 3.877 3.877 14.368
angles: 82.25 82.25 60.00
Last column: magnetic moment on the atom in μB.
Atoms (fractional coordinates):
1 Eu 0.500 0.500 0.500  -7.07
2 Y 0.000 0.000 0.000  -0.08
3 Ba 0.084 0.084 0.749  -0.01
4 Ba 0.916 0.916 0.251  -0.01

---

Record 30
VASP calculation (PBE-GGA) on a relaxed structure of BaEu2Y.

Results
E_form   0.103 eV/atom
Energy above the lowest structure with this stoichiometry   0.0 kJ per mole of atoms
Space-group type   P4/mmm, No. 123

abc: 4.192 4.192 9.937
angles: 90.00 90.00 90.00
Last column: magnetic moment on the atom in μB.
Atoms (fractional coordinates):
1 Eu 0.000 0.000 0.790  6.92
2 Eu 0.000 0.000 0.210  6.92
3 Y 0.500 0.500 0.000  0.08
4 Ba 0.500 0.500 0.500  0.05

---

Record 31
VASP calculation (PBE-GGA) on a relaxed structure of BaEu2Y.

Results
E_form   0.179 eV/atom
Energy above the lowest structure with this stoichiometry   7.3 kJ per mole of atoms
Space-group type   P4/mmm, No. 123

abc: 4.344 6.263 6.263
angles: 90.00 90.00 90.00
Last column: magnetic moment on the atom in μB.
Atoms (fractional coordinates):
1 Eu 0.000 0.000 0.500  6.88
2 Eu 0.000 0.500 0.000  6.88
3 Y 0.500 0.000 0.000  0.07
4 Ba 0.500 0.500 0.500  0.03